[1]
First-principles (PBE) data for an optimized crystal structure of Mg2WCl, as listed in the Alexandria database.

Cell: 3.014 2.957 8.366 Å, 90.00 90.44 90.00°
Element x y z (fractional)
Mg 0.008 0.000 0.245
Mg 0.992 0.000 0.755
W 0.500 0.500 0.000
Cl 0.000 0.500 0.500

Summary:
- M_tot: 0.00 μB/f.u.
- E_tot: -18.589 eV per cell
- Calculated volume: 75 Å³ per cell
- Energy relative to the elements, uncorrected: -0.60 eV per formula unit

[2]
First-principles (PBE) data for an optimized crystal structure of MgWCl, as listed in the Alexandria database.

Cell: 6.526 6.526 6.526 Å, 153.71 153.71 37.53°
Element x y z (fractional)
Mg 0.000 0.000 0.000
W 0.655 0.655 0.000
Cl 0.294 0.294 0.000

Summary:
- M_tot: 0.00 μB/f.u.
- E_tot: -15.099 eV per cell
- Calculated volume: 54 Å³ per cell
- Energy relative to the elements, uncorrected: 1.30 eV per formula unit

[3]
First-principles (PBE) data for an optimized crystal structure of Mg2WCl, as listed in the Alexandria database.

Cell: 5.508 5.508 5.168 Å, 117.56 117.56 31.51°
Element x y z (fractional)
Mg 0.230 0.230 0.231
Mg 0.770 0.770 0.769
W 0.000 0.000 0.500
Cl 0.500 0.500 0.000

Summary:
- M_tot: 0.00 μB/f.u.
- E_tot: -15.758 eV per cell
- Calculated volume: 72 Å³ per cell
- Energy relative to the elements, uncorrected: 2.23 eV per formula unit